Computed, not measured: MgCrPt after structural relaxation at the PBE level of DFT.

The space group is F-43m (No. 216) and the conventional cell measures 5.949, 5.949 and 5.949 Å, with angles of 90.00, 90.00 and 90.00 degrees. The inequivalent atoms are Mg at (0.000, 0.000, 0.000), Cr at (0.000, 0.000, 0.500) and Pt at (0.250, 0.250, 0.250).

The total energy is -5.60 eV per atom.